No. 1
A plane-wave DFT calculation with PBE was carried out for SiOsRu2 after structural relaxation.

It has space group C2/m (No. 12), with a = 8.8423 Å, b = 2.7548 Å, c = 4.5896 Å, α = 90.00°, β = 102.72° and γ = 90.00°. The distinct sites, in fractional coordinates, are Si at (0.0000, 0.0000, 0.0000), Os at (0.0000, 0.5000, 0.5000) and Ru at (0.2425, 0.5000, 0.2472).

The value obtained for the magnetization is 0.000 μB per atom. The calculated volume comes out at 109.05 Å³/cell.

=====

No. 2
A plane-wave DFT calculation with PBE was carried out for SiOs2Ru after structural relaxation.

It has space group P4/mmm (No. 123), with a = 3.7842 Å, b = 3.7842 Å, c = 3.8809 Å, α = 90.00°, β = 90.00° and γ = 90.00°. The distinct sites, in fractional coordinates, are Si at (0.0000, 0.0000, 0.0000), Os at (0.0000, 0.5000, 0.5000) and Ru at (0.5000, 0.5000, 0.0000).

The value obtained for the magnetization is 0.000 μB per atom. The calculated volume comes out at 55.57 Å³/cell.

=====

No. 3
A plane-wave DFT calculation with PBE was carried out for SiOs3Ru after structural relaxation.

It has space group Pm-3m (No. 221), with a = 4.3249 Å, b = 4.3249 Å, c = 4.3249 Å, α = 90.00°, β = 90.00° and γ = 90.00°. The distinct sites, in fractional coordinates, are Si at (0.0000, 0.0000, 0.0000), Os at (0.0000, 0.0000, 0.5000) and Ru at (0.5000, 0.5000, 0.5000).

The value obtained for the magnetization is 0.000 μB per atom. The calculated volume comes out at 80.90 Å³/cell.

=====

No. 4
A plane-wave DFT calculation with PBE was carried out for Si2OsRu after structural relaxation.

It has space group R-3m (No. 166, hexagonal axes), with a = 2.8541 Å, b = 2.8541 Å, c = 22.8699 Å, α = 90.00°, β = 90.00° and γ = 120.00°. The distinct sites, in fractional coordinates, are Si at (0.0000, 0.0000, 0.2493), Os at (0.0000, 0.0000, 0.0000) and Ru at (0.0000, 0.0000, 0.5000).

The value obtained for the magnetization is 0.000 μB per atom. The calculated volume comes out at 161.33 Å³/cell.

=====

No. 5
A plane-wave DFT calculation with PBE was carried out for SiOsRu2 after structural relaxation.

It has space group P4/mmm (No. 123), with a = 2.8183 Å, b = 2.8183 Å, c = 6.7319 Å, α = 90.00°, β = 90.00° and γ = 90.00°. The distinct sites, in fractional coordinates, are Si at (0.0000, 0.0000, 0.0000), Os at (0.0000, 0.0000, 0.5000) and Ru at (0.5000, 0.5000, 0.2209).

The value obtained for the magnetization is 0.000 μB per atom. The calculated volume comes out at 53.47 Å³/cell.

=====

No. 6
A plane-wave DFT calculation with PBE was carried out for Si2OsRu after structural relaxation.

It has space group C2/m (No. 12), with a = 7.8418 Å, b = 2.8451 Å, c = 4.9134 Å, α = 90.00°, β = 102.17° and γ = 90.00°. The distinct sites, in fractional coordinates, are Si at (0.2496, 0.0000, 0.2466), Os at (0.0000, 0.5000, 0.0000) and Ru at (0.0000, 0.0000, 0.5000).

The value obtained for the magnetization is 0.000 μB per atom. The calculated volume comes out at 107.16 Å³/cell.

=====

For each record above, in turn, the calculated calculated density values are 12.8 15.2 14.4 10.7 13.1 10.8 g cm⁻³.
For each record above, in turn, the calculated ΔE_f (raw) values are -0.030 0.261 1.393 -0.250 -0.240 -0.281 eV/atom.